A geometry-optimized AlMoAu2 structure. Source: Alexandria via LeMat-Bulk, functional GGA-PBE.

Its formation energy is 0.0022 eV per atom. Its calculated volume is 66 Å³/cell.

It has space group P4/mmm (No. 123), with a = 2.8983 Å, b = 2.8983 Å, c = 7.8076 Å, α = 90.00°, β = 90.00° and γ = 90.00°. Symmetry generates all atoms from Al at (0.0000, 0.0000, 0.0000), Mo at (0.0000, 0.0000, 0.5000) and Au at (0.5000, 0.5000, 0.2359).

=====

A geometry-optimized KTiB2O6 structure. Source: Alexandria via LeMat-Bulk, functional GGA-PBE.

Its calculated volume is 389 Å³/cell. As for the formation energy without anion corrections: -2.37 eV per atom.

It has space group R-3m (No. 166, hexagonal axes), with a = 5.1149 Å, b = 5.1149 Å, c = 17.1831 Å, α = 90.00°, β = 90.00° and γ = 120.00°. Symmetry generates all atoms from K at (0.0000, 0.0000, 0.0000), Ti at (0.0000, 0.0000, 0.5000), B at (0.0000, 0.0000, 0.2317) and O at (0.0241, 0.5121, 0.9002).